Entry from the Alexandria database: a geometry-optimized PuGaBi2 structure (GGA-PBE).

Its crystal system is trigonal. Its electronic total energy is -6.060 eV/atom. Its density of states at the Fermi level is 2.190 states/eV per atom. The energy of formation comes out at 0.220 eV per atom. The energy above the lowest structure with this stoichiometry is 470.1 meV/atom.

It has space group R-3m (No. 166, hexagonal axes), with a = 3.3944 Å, b = 3.3944 Å, c = 36.2749 Å, α = 90.00°, β = 90.00° and γ = 120.00°. The asymmetric unit holds Pu at (0.0000, 0.0000, 0.0000), Ga at (0.0000, 0.0000, 0.5000) and Bi at (0.0000, 0.0000, 0.0903).